# K2LaAs

A geometry-optimized K2LaAs structure (PBE-GGA, the Alexandria database).

**Symmetry**: I4/mmm (139)

Cell: 7.3363 7.3363 7.3363 Å, 143.46 143.46 52.64°
Positions (direct):
As: 0.7500 0.2500 0.5000
K: 0.0000 0.0000 0.0000
K: 0.5000 0.5000 0.0000
La: 0.2500 0.7500 0.5000


# KLa2As

A geometry-optimized KLa2As structure (PBE-GGA, the Alexandria database).

**Symmetry**: I-4m2 (119)

Cell: 6.4353 6.4353 6.4353 Å, 137.04 137.04 62.38°
Positions (direct):
La: 0.2500 0.7500 0.5000
La: 0.0000 0.0000 0.0000
As: 0.5000 0.5000 0.0000
K: 0.7500 0.2500 0.5000


# K2LaAs2

A geometry-optimized K2LaAs2 structure (PBE-GGA, the Alexandria database).

**Energy above the lowest structure with this stoichiometry**: 0.000 eV per atom
**Symmetry**: P4/mbm (127)

Cell: 7.7348 7.7348 5.5450 Å, 90.00 90.00 90.00°
Positions (direct):
K: 0.6631 0.8369 0.5000
K: 0.8369 0.3369 0.5000
K: 0.1631 0.6631 0.5000
K: 0.3369 0.1631 0.5000
As: 0.8832 0.6168 0.0000
As: 0.1168 0.3832 0.0000
As: 0.6168 0.1168 0.0000
As: 0.3832 0.8832 0.0000
La: 0.5000 0.5000 0.0000
La: 0.0000 0.0000 0.0000


Per-record DFT total energy, eV per atom: -3.160 -4.042 -3.809
Per-record formation enthalpy at 0 K, eV per atom: -0.217 -0.141 -0.524